# 1
Computed, not measured: K2PaCoS4 after structural relaxation at the PBE-GGA level of DFT.

* total magnetic moment: 2.0 Bohr magnetons per cell
* formation energy without anion corrections: -969 meV per atom

Cell: 6.7089 6.7089 6.7089 Å, 115.24 115.24 98.46°
Closest atoms and distances in Å follow each position.
Element x y z (fractional)
K1 0.0000 0.0000 0.0000  4 S 3.16
K2 0.7500 0.2500 0.5000  4 S 3.22
Pa1 0.2500 0.7500 0.5000  4 S 2.56
Co1 0.5000 0.5000 0.0000  4 S 2.30
S1 0.2286 0.1552 0.5916  1 Co 2.30, 1 Pa 2.56
S2 0.3630 0.7714 0.9266  1 Co 2.30, 1 Pa 2.56
S3 0.5636 0.6370 0.4084  1 Co 2.30, 1 Pa 2.56
S4 0.8448 0.4364 0.0734  1 Co 2.30, 1 Pa 2.56

---

# 2
Computed, not measured: PrSc2SiN4 after structural relaxation at the PBE-GGA level of DFT.

* total magnetic moment: 0.0 Bohr magnetons per cell
* formation energy without anion corrections: -1455 meV per atom

Cell: 5.8451 5.8451 10.9730 Å, 90.00 90.00 147.97°
Closest atoms and distances in Å follow each position.
Element x y z (fractional)
Pr1 0.0879 0.9121 0.7500  8 N 2.61-2.92
Pr2 0.9121 0.0879 0.2500  8 N 2.61-2.92
Sc1 0.3692 0.6308 0.5386  6 N 2.13-2.36
Sc2 0.3692 0.6308 0.9614  6 N 2.13-2.36
Sc3 0.6308 0.3692 0.0386  6 N 2.13-2.36
Sc4 0.6308 0.3692 0.4614  6 N 2.13-2.36
Si1 0.1758 0.8242 0.2500  4 N 1.71-1.86
Si2 0.8242 0.1758 0.7500  4 N 1.71-1.86
N1 0.0000 0.0000 0.0000  4 Sc 2.22
N2 0.0000 0.0000 0.5000  4 Sc 2.22
N3 0.2614 0.7386 0.1209  1 Si 1.71
N4 0.2614 0.7386 0.3791  1 Si 1.71
N5 0.4058 0.5942 0.7500  2 Si 1.86
N6 0.5942 0.4058 0.2500  2 Si 1.86
N7 0.7386 0.2614 0.6209  1 Si 1.71
N8 0.7386 0.2614 0.8791  1 Si 1.71

---

# 3
Computed, not measured: La4P2Pb after structural relaxation at the PBE-GGA level of DFT.

* total magnetic moment: 1.8 Bohr magnetons per cell

Cell: 7.3482 7.3482 14.6671 Å, 90.00 90.00 145.80°
Closest atoms and distances in Å follow each position.
Element x y z (fractional)
La1 0.0000 0.0000 0.0000  4 P 3.01
La2 0.0000 0.0000 0.5000  4 P 3.01
La3 0.2676 0.7324 0.6143  3 P 2.90-2.96
La4 0.2676 0.7324 0.8857  3 P 2.90-2.96
La5 0.4326 0.5674 0.2500  2 P 2.94, 2 Pb 3.27
La6 0.5674 0.4326 0.7500  2 P 2.94, 2 Pb 3.27
La7 0.7324 0.2676 0.1143  3 P 2.90-2.96
La8 0.7324 0.2676 0.3857  3 P 2.90-2.96
P1 0.3644 0.6356 0.0603  6 La 2.90-3.01
P2 0.3644 0.6356 0.4397  6 La 2.90-3.01
P3 0.6356 0.3644 0.5603  6 La 2.90-3.01
P4 0.6356 0.3644 0.9397  6 La 2.90-3.01
Pb1 0.1074 0.8926 0.2500  6 La 3.27-3.42
Pb2 0.8926 0.1074 0.7500  6 La 3.27-3.42

---

# 4
Computed, not measured: TlCo2W after structural relaxation at the PBE-GGA level of DFT.

* E above lowest polymorph: 205.7 meV per atom
* total magnetic moment: 1.8 Bohr magnetons per cell

Cell: 4.4388 4.4388 5.2172 Å, 98.56 98.56 37.81°
Closest atoms and distances in Å follow each position.
Element x y z (fractional)
Tl1 0.0000 0.0000 0.0000  6 Co 2.78-2.88, 2 Tl 2.88, 4 W 2.98
Co1 0.2417 0.2417 0.6907  2 Co 2.48, 3 W 2.53-2.56
Co2 0.7583 0.7583 0.3093  2 Co 2.48, 3 W 2.53-2.56
W1 0.5000 0.5000 0.5000  6 Co 2.53-2.56

---

The calculation returns the following electronic total energy values, one per record and in order: -5.382 -8.476 -6.010 -6.825 eV per atom.